8
Lattice="7.355 0.000 0.000 0.000 4.176 0.000 -2.375 0.000 7.132" Properties=species:S:1:pos:R:3 comment="Dy4TlBiSe2 | Alexandria | PBE-GGA | optimized geometry" sg="No. 10" e_tot_ev_per_fu=-40.657 formation_energy_uncorrected_kj_per_mol_atoms=-108.9 pbc="T T T"
Dy 1.207 0.000 1.667
Dy 0.051 2.088 5.472
Dy 4.929 2.088 1.660
Dy 3.773 0.000 5.465
Tl -1.187 0.000 3.566
Bi 2.490 2.088 3.566
Se 0.000 2.088 0.000
Se 3.677 0.000 0.000